# Ca2NiP3, optimized geometry, DFT PBE-GGA
# ΔH_f (0 K): -0.80 eV/atom
# Symmetry: Fmmm
data_Ca2NiP3
_chemical_formula_sum 'Ca4 Ni2 P6'
_cell_length_a 5.966
_cell_length_b 5.966
_cell_length_c 7.652
_cell_angle_alpha 112.03
_cell_angle_beta 112.03
_cell_angle_gamma 92.18
_space_group_name_H-M_alt 'P 1'
_space_group_IT_number 1
loop_
_space_group_symop_operation_xyz
'x,y,z'
loop_
_atom_site_label
_atom_site_fract_x
_atom_site_fract_y
_atom_site_fract_z
Ca1 0.250 0.750 0.500
Ca2 0.760 0.760 0.000
P1 0.843 0.843 0.685
Ca3 0.750 0.250 0.500
Ni1 0.327 0.327 0.653
Ca4 0.240 0.240 0.000
Ni2 0.673 0.673 0.347
P2 0.369 0.802 0.172
P3 0.198 0.631 0.828
P4 0.157 0.157 0.315
P5 0.631 0.198 0.828
P6 0.802 0.369 0.172